## PaMn2GeO8 (PBE with a Hubbard U)

Data for crystalline PaMn2GeO8 at its relaxed geometry.

Total moment in μB/cell: 7.00
Uncorrected energy in hartree per atom: -0.2754

abc: 5.830 5.830 5.830
angles: 111.78 111.78 104.95
Site moments in Bohr magnetons follow the coordinates.
Atoms (fractional coordinates):
Pa: 0.000 0.000 0.000  0.07
Mn: 0.750 0.250 0.500  2.99
Mn: 0.500 0.500 0.000  4.27
Ge: 0.250 0.750 0.500  0.05
O: 0.383 0.069 0.314  -0.06
O: 0.298 0.514 0.216  -0.10
O: 0.298 0.082 0.784  -0.10
O: 0.756 0.069 0.686  -0.06
O: 0.918 0.702 0.216  -0.10
O: 0.931 0.244 0.314  -0.06
O: 0.931 0.617 0.686  -0.06
O: 0.486 0.702 0.784  -0.10